No. 1
## Zr3BeGa (PBEsol)

Data for a relaxed Zr3BeGa crystal.

Cell: 4.6297 4.6297 4.6297 Å, 90.00 90.00 90.00°
Space group Pm-3m (No. 221)
Unique sites:
Zr 0.0000 0.0000 0.5000
Be 0.0000 0.0000 0.0000
Ga 0.5000 0.5000 0.5000

Summary:
Uncorrected energy (eV/atom): -6.8127
Density of states at the Fermi level (states/eV/atom): 0.86
Total magnetic moment (μB/f.u.): 0.000
Formation enthalpy at 0 K (eV per atom): 0.109

=====

No. 2
## Gd2Be2GeO7 (PBEsol)

Data for a relaxed Gd2Be2GeO7 crystal.

Cell: 7.4444 7.4444 4.8116 Å, 90.00 90.00 90.00°
Space group P-42_1m (No. 113)
Unique sites:
Gd 0.1585 0.3415 0.0043
Be 0.1351 0.6351 0.5456
Ge 0.0000 0.0000 0.5000
O 0.0000 0.5000 0.6814
O 0.0803 0.8276 0.7138
O 0.1422 0.6422 0.2160

Summary:
E_form (uncorrected) (eV per atom): -2.88
Uncorrected energy (eV/atom): -9.4310
Density of states at the Fermi level (states/eV/atom): 0.00
Total magnetic moment (μB/f.u.): 13.968

=====

No. 3
## SrGd2BeO5 (PBEsol)

Data for a relaxed SrGd2BeO5 crystal.

Cell: 9.3680 6.4185 7.1133 Å, 90.00 90.00 90.00°
Space group Pna2_1 (No. 33)
Unique sites:
Sr 0.1747 0.0816 0.0000
Gd 0.0214 0.5952 0.7661
Gd 0.1743 0.0692 0.5474
Be 0.1019 0.8071 0.2681
O 0.0096 0.0237 0.2689
O 0.0674 0.6944 0.4640
O 0.0724 0.6822 0.0741
O 0.2213 0.3414 0.2606
O 0.2223 0.3661 0.7689

Summary:
E_form (uncorrected) (eV per atom): -3.17
Uncorrected energy (eV/atom): -9.9480
Density of states at the Fermi level (states/eV/atom): 0.00
Total magnetic moment (μB/f.u.): 13.985

=====

No. 4
## BeGeH3 (PBEsol)

Data for a relaxed BeGeH3 crystal.

Cell: 3.6057 3.6057 3.6057 Å, 90.00 90.00 90.00°
Space group Pm-3m (No. 221)
Unique sites:
Be 0.0000 0.0000 0.0000
Ge 0.5000 0.5000 0.5000
H 0.0000 0.5000 0.5000

Summary:
Uncorrected energy (eV/atom): -2.9068
Density of states at the Fermi level (states/eV/atom): 0.14
Total magnetic moment (μB/f.u.): 0.000

=====

No. 5
## BeGe3H (PBEsol)

Data for a relaxed BeGe3H crystal.

Cell: 4.1128 4.1128 4.1128 Å, 90.00 90.00 90.00°
Space group Pm-3m (No. 221)
Unique sites:
Be 0.0000 0.0000 0.0000
Ge 0.0000 0.5000 0.5000
H 0.5000 0.5000 0.5000

Summary:
Uncorrected energy (eV/atom): -3.8138
Density of states at the Fermi level (states/eV/atom): 0.44
Total magnetic moment (μB/f.u.): 0.000

=====

No. 6
## HfBeGe2Os (PBEsol)

Data for a relaxed HfBeGe2Os crystal.

Cell: 4.1380 4.1380 4.5689 Å, 90.00 90.00 90.00°
Space group P4/mmm (No. 123)
Unique sites:
Hf 0.0000 0.0000 0.0000
Be 0.0000 0.0000 0.5000
Ge 0.0000 0.5000 0.5000
Os 0.5000 0.5000 0.0000

Summary:
Uncorrected energy (eV/atom): -6.6511
Density of states at the Fermi level (states/eV/atom): 0.46
Total magnetic moment (μB/f.u.): 0.000
Formation enthalpy at 0 K (eV per atom): 0.668

=====

> Look up the density of states at the Fermi level of the fourth one.

0.14 states/eV/atom